# 1
# SrLi2MoO4 (PBE+U, optimized geometry)
data_SrLi2MoO4
_chemical_formula_sum 'Sr2 Li4 Mo2 O8'
_space_group_name_H-M_alt 'I -4 2 m'
_space_group_IT_number 121
_space_group_name_Hall 'I -4 2'
_cell_length_a 5.4770
_cell_length_b 5.4770
_cell_length_c 6.9158
_cell_angle_alpha 90.00
_cell_angle_beta 90.00
_cell_angle_gamma 90.00
loop_
_atom_site_label
_atom_site_type_symbol
_atom_site_fract_x
_atom_site_fract_y
_atom_site_fract_z
_atom_site_occupancy
Sr1 Sr 0.0000 0.0000 0.0000 1
Li1 Li 0.0000 0.5000 0.2500 1
Mo1 Mo 0.0000 0.0000 0.5000 1
O1 O 0.2088 0.2088 0.6621 1
# Mass density   4.19 g cm⁻³
# Uncorrected energy   -6.099 eV/atom
# Magnetic moment   2.00 μB/f.u.

---

# 2
# Sr4LiMo3O12 (PBE+U, optimized geometry)
data_Sr4LiMo3O12
_chemical_formula_sum 'Sr8 Li2 Mo6 O24'
_space_group_name_H-M_alt 'I m -3 m'
_space_group_IT_number 229
_space_group_name_Hall '-I 4 2 3'
_cell_length_a 8.0938
_cell_length_b 8.0938
_cell_length_c 8.0938
_cell_angle_alpha 90.00
_cell_angle_beta 90.00
_cell_angle_gamma 90.00
loop_
_atom_site_label
_atom_site_type_symbol
_atom_site_fract_x
_atom_site_fract_y
_atom_site_fract_z
_atom_site_occupancy
Sr1 Sr 0.2500 0.2500 0.2500 1
Li1 Li 0.0000 0.0000 0.0000 1
Mo1 Mo 0.0000 0.0000 0.5000 1
O1 O 0.0000 0.0000 0.2648 1
O2 O 0.0000 0.2500 0.5000 1
# Mass density   5.24 g cm⁻³
# Uncorrected energy   -6.774 eV/atom
# Magnetic moment   3.00 μB/f.u.

---

# 3
# Sr3LiMo2O9 (PBE+U, optimized geometry)
data_Sr3LiMo2O9
_chemical_formula_sum 'Sr3 Li1 Mo2 O9'
_space_group_name_H-M_alt 'P -3 m 1'
_space_group_IT_number 164
_space_group_name_Hall '-P 3 2"'
_cell_length_a 5.6875
_cell_length_b 5.6875
_cell_length_c 6.9294
_cell_angle_alpha 90.00
_cell_angle_beta 90.00
_cell_angle_gamma 120.00
loop_
_atom_site_label
_atom_site_type_symbol
_atom_site_fract_x
_atom_site_fract_y
_atom_site_fract_z
_atom_site_occupancy
Sr1 Sr 0.0000 0.0000 0.0000 1
Sr2 Sr 0.3333 0.6667 0.6643 1
Li1 Li 0.0000 0.0000 0.5000 1
Mo1 Mo 0.3333 0.6667 0.1806 1
O1 O 0.0000 0.5000 0.0000 1
O2 O 0.1709 0.3417 0.3231 1
# Mass density   5.18 g cm⁻³
# Uncorrected energy   -6.679 eV/atom
# Magnetic moment   1.00 μB/f.u.

---

# 4
# LiTaMo2O6 (PBE+U, optimized geometry)
data_LiTaMo2O6
_chemical_formula_sum 'Li3 Ta3 Mo6 O18'
_space_group_name_H-M_alt 'R 3'
_space_group_IT_number 146
_space_group_name_Hall 'R 3'
_cell_length_a 5.3695
_cell_length_b 5.3695
_cell_length_c 15.0119
_cell_angle_alpha 90.00
_cell_angle_beta 90.00
_cell_angle_gamma 120.00
loop_
_atom_site_label
_atom_site_type_symbol
_atom_site_fract_x
_atom_site_fract_y
_atom_site_fract_z
_atom_site_occupancy
Li1 Li 0.0000 0.0000 0.0000 1
Ta1 Ta 0.0000 0.0000 0.4494 1
Mo1 Mo 0.0000 0.0000 0.2525 1
Mo2 Mo 0.0000 0.0000 0.7545 1
O1 O 0.0036 0.3274 0.5060 1
O2 O 0.0055 0.7149 0.3541 1
# Mass density   6.32 g cm⁻³
# Uncorrected energy   -7.900 eV/atom
# Magnetic moment   6.00 μB/f.u.

---

# 5
# Li2TaMo2O6 (PBE+U, optimized geometry)
data_Li2TaMo2O6
_chemical_formula_sum 'Li4 Ta2 Mo4 O12'
_space_group_name_H-M_alt 'C 1 2/m 1'
_space_group_IT_number 12
_cell_length_a 5.3928
_cell_length_b 9.0267
_cell_length_c 5.4334
_cell_angle_alpha 90.00
_cell_angle_beta 108.21
_cell_angle_gamma 90.00
loop_
_space_group_symop_operation_xyz
'x,y,z'
'-x,-y,-z'
'-x,y,-z'
'x,-y,z'
'x+1/2,y+1/2,z'
'-x+1/2,-y+1/2,-z'
'-x+1/2,y+1/2,-z'
'x+1/2,-y+1/2,z'
loop_
_atom_site_label
_atom_site_type_symbol
_atom_site_fract_x
_atom_site_fract_y
_atom_site_fract_z
_atom_site_occupancy
Li1 Li 0.0000 0.1681 0.0000 1
Ta1 Ta 0.0000 0.0000 0.5000 1
Mo1 Mo 0.0000 0.3554 0.5000 1
O1 O 0.2142 0.0000 0.2434 1
O2 O 0.2172 0.1690 0.7169 1
# Mass density   6.38 g cm⁻³
# Uncorrected energy   -7.303 eV/atom
# Magnetic moment   3.00 μB/f.u.

---

# 6
# LiTaMoO6 (PBE+U, optimized geometry)
data_LiTaMoO6
_chemical_formula_sum 'Li2 Ta2 Mo2 O12'
_space_group_name_H-M_alt 'P 42 n m'
_space_group_IT_number 102
_cell_length_a 4.7994
_cell_length_b 4.7994
_cell_length_c 9.0771
_cell_angle_alpha 90.00
_cell_angle_beta 90.00
_cell_angle_gamma 90.00
loop_
_space_group_symop_operation_xyz
'x,y,z'
'-y+1/2,x+1/2,z+1/2'
'-x,-y,z'
'y+1/2,-x+1/2,z+1/2'
'-x+1/2,y+1/2,z+1/2'
'y,x,z'
'x+1/2,-y+1/2,z+1/2'
'-y,-x,z'
loop_
_atom_site_label
_atom_site_type_symbol
_atom_site_fract_x
_atom_site_fract_y
_atom_site_fract_z
_atom_site_occupancy
Li1 Li 0.0000 0.0000 0.0000 1
Ta1 Ta 0.0000 0.0000 0.6688 1
Mo1 Mo 0.0000 0.0000 0.3295 1
O1 O 0.1844 0.1844 0.4939 1
O2 O 0.2057 0.2057 0.1830 1
O3 O 0.2126 0.2126 0.8168 1
# Mass density   6.03 g cm⁻³
# Uncorrected energy   -7.774 eV/atom
# Magnetic moment   0.00 μB/f.u.

---

# 7
# Li2TaMoO6 (PBE+U, optimized geometry)
data_Li2TaMoO6
_chemical_formula_sum 'Li2 Ta1 Mo1 O6'
_space_group_name_H-M_alt 'P 1'
_space_group_IT_number 1
_cell_length_a 5.1784
_cell_length_b 5.1969
_cell_length_c 5.5195
_cell_angle_alpha 61.99
_cell_angle_beta 62.30
_cell_angle_gamma 60.52
loop_
_space_group_symop_operation_xyz
'x,y,z'
loop_
_atom_site_label
_atom_site_type_symbol
_atom_site_fract_x
_atom_site_fract_y
_atom_site_fract_z
_atom_site_occupancy
Li1 Li 0.0000 0.0000 0.0000 1
Li2 Li 0.4781 0.5063 0.4980 1
Ta1 Ta 0.2596 0.2953 0.1494 1
Mo1 Mo 0.7779 0.7913 0.6446 1
O1 O 0.0559 0.4073 0.8582 1
O2 O 0.1590 0.9125 0.3507 1
O3 O 0.4152 0.6474 0.8620 1
O4 O 0.5407 0.1551 0.3626 1
O5 O 0.6661 0.0298 0.8632 1
O6 O 0.9046 0.5498 0.3661 1
# Mass density   5.91 g cm⁻³
# Uncorrected energy   -7.499 eV/atom
# Magnetic moment   1.00 μB/f.u.

---

# 8
# Li2TbMoO4 (PBE+U, optimized geometry)
data_Li2TbMoO4
_chemical_formula_sum 'Li4 Tb2 Mo2 O8'
_space_group_name_H-M_alt 'I -4 m 2'
_space_group_IT_number 119
_space_group_name_Hall 'I -4 -2'
_cell_length_a 4.4263
_cell_length_b 4.4263
_cell_length_c 9.7287
_cell_angle_alpha 90.00
_cell_angle_beta 90.00
_cell_angle_gamma 90.00
loop_
_atom_site_label
_atom_site_type_symbol
_atom_site_fract_x
_atom_site_fract_y
_atom_site_fract_z
_atom_site_occupancy
Li1 Li 0.0000 0.0000 0.0000 1
Li2 Li 0.0000 0.5000 0.2500 1
Tb1 Tb 0.0000 0.5000 0.7500 1
Mo1 Mo 0.0000 0.0000 0.5000 1
O1 O 0.0000 0.0000 0.2762 1
O2 O 0.0000 0.5000 0.5094 1
# Mass density   5.80 g cm⁻³
# Uncorrected energy   -6.741 eV/atom
# Magnetic moment   3.00 μB/f.u.

---

# 9
# Li2TcMoO6 (PBE+U, optimized geometry)
data_Li2TcMoO6
_chemical_formula_sum 'Li2 Tc1 Mo1 O6'
_space_group_name_H-M_alt 'P 4 m m'
_space_group_IT_number 99
_cell_length_a 5.5679
_cell_length_b 5.5679
_cell_length_c 3.8560
_cell_angle_alpha 90.00
_cell_angle_beta 90.00
_cell_angle_gamma 90.00
loop_
_space_group_symop_operation_xyz
'x,y,z'
'-y,x,z'
'-x,-y,z'
'y,-x,z'
'-x,y,z'
'y,x,z'
'x,-y,z'
'-y,-x,z'
loop_
_atom_site_label
_atom_site_type_symbol
_atom_site_fract_x
_atom_site_fract_y
_atom_site_fract_z
_atom_site_occupancy
Li1 Li 0.0000 0.5000 0.0000 1
Tc1 Tc 0.0000 0.0000 0.8330 1
Mo1 Mo 0.5000 0.5000 0.8051 1
O1 O 0.0000 0.0000 0.3334 1
O2 O 0.2524 0.2524 0.8382 1
O3 O 0.5000 0.5000 0.3261 1
# Mass density   4.22 g cm⁻³
# Uncorrected energy   -6.743 eV/atom
# Magnetic moment   0.00 μB/f.u.

---

# 10
# Li2TiMoO6 (PBE+U, optimized geometry)
data_Li2TiMoO6
_chemical_formula_sum 'Li2 Ti1 Mo1 O6'
_space_group_name_H-M_alt 'P 4 m m'
_space_group_IT_number 99
_cell_length_a 5.3819
_cell_length_b 5.3819
_cell_length_c 4.4190
_cell_angle_alpha 90.00
_cell_angle_beta 90.00
_cell_angle_gamma 90.00
loop_
_space_group_symop_operation_xyz
'x,y,z'
'-y,x,z'
'-x,-y,z'
'y,-x,z'
'-x,y,z'
'y,x,z'
'x,-y,z'
'-y,-x,z'
loop_
_atom_site_label
_atom_site_type_symbol
_atom_site_fract_x
_atom_site_fract_y
_atom_site_fract_z
_atom_site_occupancy
Li1 Li 0.0000 0.5000 0.0000 1
Ti1 Ti 0.0000 0.0000 0.7074 1
Mo1 Mo 0.5000 0.5000 0.7107 1
O1 O 0.0000 0.0000 0.3251 1
O2 O 0.2551 0.2551 0.8159 1
O3 O 0.5000 0.5000 0.3171 1
# Mass density   3.29 g cm⁻³
# Uncorrected energy   -7.002 eV/atom
# Magnetic moment   0.00 μB/f.u.

---

Please write out number 7 again, unchanged.
# Li2TaMoO6 (PBE+U, optimized geometry)
data_Li2TaMoO6
_chemical_formula_sum 'Li2 Ta1 Mo1 O6'
_space_group_name_H-M_alt 'P 1'
_space_group_IT_number 1
_cell_length_a 5.1784
_cell_length_b 5.1969
_cell_length_c 5.5195
_cell_angle_alpha 61.99
_cell_angle_beta 62.30
_cell_angle_gamma 60.52
loop_
_space_group_symop_operation_xyz
'x,y,z'
loop_
_atom_site_label
_atom_site_type_symbol
_atom_site_fract_x
_atom_site_fract_y
_atom_site_fract_z
_atom_site_occupancy
Li1 Li 0.0000 0.0000 0.0000 1
Li2 Li 0.4781 0.5063 0.4980 1
Ta1 Ta 0.2596 0.2953 0.1494 1
Mo1 Mo 0.7779 0.7913 0.6446 1
O1 O 0.0559 0.4073 0.8582 1
O2 O 0.1590 0.9125 0.3507 1
O3 O 0.4152 0.6474 0.8620 1
O4 O 0.5407 0.1551 0.3626 1
O5 O 0.6661 0.0298 0.8632 1
O6 O 0.9046 0.5498 0.3661 1
# Mass density   5.91 g cm⁻³
# Uncorrected energy   -7.499 eV/atom
# Magnetic moment   1.00 μB/f.u.